[1]
# PBE-GGA Sr2Tl2Cd15, relaxed
data_Sr2Tl2Cd15
_symmetry_space_group_name_H-M 'P 1'
_symmetry_Int_Tables_number 1
_cell_length_a 7.8537
_cell_length_b 7.8537
_cell_length_c 7.8537
_cell_angle_alpha 84.13
_cell_angle_beta 84.13
_cell_angle_gamma 84.13
loop_
_symmetry_equiv_pos_as_xyz
'x,y,z'
loop_
_atom_site_label
_atom_site_type_symbol
_atom_site_fract_x
_atom_site_fract_y
_atom_site_fract_z
Cd1 Cd 0.3086 0.6914 0.0000
Cd2 Cd 0.3559 0.8280 0.3559
Cd3 Cd 0.6914 0.0000 0.3086
Cd4 Cd 0.0000 0.0000 0.5000
Cd5 Cd 0.3086 0.0000 0.6914
Cd6 Cd 0.3559 0.3559 0.8280
Cd7 Cd 0.0000 0.6914 0.3086
Cd8 Cd 0.5000 0.0000 0.0000
Cd9 Cd 0.6914 0.3086 0.0000
Cd10 Cd 0.0000 0.3086 0.6914
Cd11 Cd 0.6441 0.1720 0.6441
Cd12 Cd 0.8280 0.3559 0.3559
Cd13 Cd 0.6441 0.6441 0.1720
Cd14 Cd 0.1720 0.6441 0.6441
Cd15 Cd 0.0000 0.5000 0.0000
Sr1 Sr 0.3380 0.3380 0.3380
Sr2 Sr 0.6620 0.6620 0.6620
Tl1 Tl 0.1030 0.1030 0.1030
Tl2 Tl 0.8970 0.8970 0.8970
# space group = R-3m, No. 166

=====

[2]
# PBE-GGA ErNpSn2, relaxed
data_ErNpSn2
_symmetry_space_group_name_H-M 'P 1'
_symmetry_Int_Tables_number 1
_cell_length_a 4.3703
_cell_length_b 4.8786
_cell_length_c 4.8786
_cell_angle_alpha 90.00
_cell_angle_beta 90.00
_cell_angle_gamma 90.00
loop_
_symmetry_equiv_pos_as_xyz
'x,y,z'
loop_
_atom_site_label
_atom_site_type_symbol
_atom_site_fract_x
_atom_site_fract_y
_atom_site_fract_z
Sn1 Sn 0.0000 0.0000 0.5000
Sn2 Sn 0.0000 0.5000 0.0000
Np1 Np 0.5000 0.5000 0.5000
Er1 Er 0.5000 0.0000 0.0000
# ΔE to the lowest computed polymorph = 0 meV per atom
# space group = P4/mmm, No. 123

=====

[3]
# PBE-GGA Pm8Dy6Ho, relaxed
data_Pm8Dy6Ho
_symmetry_space_group_name_H-M 'P 1'
_symmetry_Int_Tables_number 1
_cell_length_a 6.5616
_cell_length_b 9.4121
_cell_length_c 9.4121
_cell_angle_alpha 120.00
_cell_angle_beta 90.00
_cell_angle_gamma 90.00
loop_
_symmetry_equiv_pos_as_xyz
'x,y,z'
loop_
_atom_site_label
_atom_site_type_symbol
_atom_site_fract_x
_atom_site_fract_y
_atom_site_fract_z
Pm1 Pm 0.1662 0.9652 0.7150
Pm2 Pm 0.8802 0.3333 0.6667
Pm3 Pm 0.8338 0.7150 0.7498
Pm4 Pm 0.1662 0.7498 0.0348
Pm5 Pm 0.1198 0.6667 0.3333
Pm6 Pm 0.8338 0.2502 0.9652
Pm7 Pm 0.1662 0.2850 0.2502
Pm8 Pm 0.8338 0.0348 0.2850
Dy1 Dy 0.6587 0.6554 0.0920
Dy2 Dy 0.6587 0.4366 0.3446
Dy3 Dy 0.3413 0.0920 0.4366
Dy4 Dy 0.6587 0.9080 0.5634
Dy5 Dy 0.3413 0.3446 0.9080
Dy6 Dy 0.3413 0.5634 0.6554
Ho1 Ho 0.5000 0.0000 0.0000
# space group = P-3, No. 147

=====

[4]
# PBE-GGA BaSr2RhPb, relaxed
data_BaSr2RhPb
_symmetry_space_group_name_H-M 'P 1'
_symmetry_Int_Tables_number 1
_cell_length_a 5.8271
_cell_length_b 5.8271
_cell_length_c 5.4692
_cell_angle_alpha 90.00
_cell_angle_beta 90.00
_cell_angle_gamma 90.00
loop_
_symmetry_equiv_pos_as_xyz
'x,y,z'
loop_
_atom_site_label
_atom_site_type_symbol
_atom_site_fract_x
_atom_site_fract_y
_atom_site_fract_z
Sr1 Sr 0.5000 0.0000 0.0000
Sr2 Sr 0.0000 0.5000 0.0000
Ba1 Ba 0.5000 0.5000 0.5000
Pb1 Pb 0.0000 0.0000 0.5000
Rh1 Rh 0.0000 0.0000 0.0000
# ΔE to the lowest computed polymorph = 0 meV per atom
# space group = P4/mmm, No. 123

=====

[5]
# PBE-GGA K2Na7Hg, relaxed
data_K2Na7Hg
_symmetry_space_group_name_H-M 'P 1'
_symmetry_Int_Tables_number 1
_cell_length_a 5.0735
_cell_length_b 5.0735
_cell_length_c 16.3657
_cell_angle_alpha 90.00
_cell_angle_beta 90.00
_cell_angle_gamma 90.00
loop_
_symmetry_equiv_pos_as_xyz
'x,y,z'
loop_
_atom_site_label
_atom_site_type_symbol
_atom_site_fract_x
_atom_site_fract_y
_atom_site_fract_z
Hg1 Hg 0.5000 0.5000 0.0000
Na1 Na 0.5000 0.0000 0.1252
Na2 Na 0.0000 0.5000 0.6576
Na3 Na 0.0000 0.0000 0.5000
Na4 Na 0.0000 0.5000 0.8748
Na5 Na 0.5000 0.5000 0.5000
Na6 Na 0.0000 0.0000 0.0000
Na7 Na 0.5000 0.0000 0.3424
K1 K 0.0000 0.5000 0.2240
K2 K 0.5000 0.0000 0.7760
# ΔE to the lowest computed polymorph = 0 meV per atom
# space group = P-4m2, No. 115

=====

[6]
# PBE-GGA Ce5CO4, relaxed
data_Ce5CO4
_symmetry_space_group_name_H-M 'P 1'
_symmetry_Int_Tables_number 1
_cell_length_a 5.0239
_cell_length_b 6.1547
_cell_length_c 6.1547
_cell_angle_alpha 80.41
_cell_angle_beta 65.91
_cell_angle_gamma 65.91
loop_
_symmetry_equiv_pos_as_xyz
'x,y,z'
loop_
_atom_site_label
_atom_site_type_symbol
_atom_site_fract_x
_atom_site_fract_y
_atom_site_fract_z
Ce1 Ce 0.1005 0.6000 0.2011
Ce2 Ce 0.3016 0.7989 0.6000
Ce3 Ce 0.9016 0.4000 0.7989
Ce4 Ce 0.7005 0.2011 0.4000
Ce5 Ce 0.5011 0.0000 0.0000
O1 O 0.6053 0.5972 0.1942
O2 O 0.3967 0.4028 0.8058
O3 O 0.7995 0.8058 0.5972
O4 O 0.2025 0.1942 0.4028
C1 C 0.0012 0.0000 0.0000
# energy relative to the elements, uncorrected = -2392 meV per atom
# space group = I4/m, No. 87

=====

[7]
# PBE-GGA Ac5Cd2Ni2, relaxed
data_Ac5Cd2Ni2
_symmetry_space_group_name_H-M 'P 1'
_symmetry_Int_Tables_number 1
_cell_length_a 7.5363
_cell_length_b 9.2079
_cell_length_c 9.2335
_cell_angle_alpha 90.00
_cell_angle_beta 65.91
_cell_angle_gamma 90.00
loop_
_symmetry_equiv_pos_as_xyz
'x,y,z'
loop_
_atom_site_label
_atom_site_type_symbol
_atom_site_fract_x
_atom_site_fract_y
_atom_site_fract_z
Ac1 Ac 0.5283 0.8209 0.2396
Ac2 Ac 0.7321 0.3209 0.2396
Ac3 Ac 0.2679 0.6791 0.7604
Ac4 Ac 0.0283 0.6791 0.2396
Ac5 Ac 0.4717 0.1791 0.7604
Ac6 Ac 0.2321 0.1791 0.2396
Ac7 Ac 0.9717 0.3209 0.7604
Ac8 Ac 0.5000 0.5000 0.0000
Ac9 Ac 0.7679 0.8209 0.7604
Ac10 Ac 0.0000 0.0000 0.0000
Ni1 Ni 0.6303 0.0999 0.0000
Ni2 Ni 0.8697 0.5999 0.0000
Ni3 Ni 0.1303 0.4001 0.0000
Ni4 Ni 0.3697 0.9001 0.0000
Cd1 Cd 0.7119 0.5000 0.5763
Cd2 Cd 0.2119 0.0000 0.5763
Cd3 Cd 0.2881 0.5000 0.4237
Cd4 Cd 0.7881 0.0000 0.4237
# space group = Cmce, No. 64

=====

[8]
# PBE-GGA CeThTeP, relaxed
data_CeThTeP
_symmetry_space_group_name_H-M 'P 1'
_symmetry_Int_Tables_number 1
_cell_length_a 4.1627
_cell_length_b 4.1632
_cell_length_c 7.9416
_cell_angle_alpha 90.00
_cell_angle_beta 105.19
_cell_angle_gamma 120.00
loop_
_symmetry_equiv_pos_as_xyz
'x,y,z'
loop_
_atom_site_label
_atom_site_type_symbol
_atom_site_fract_x
_atom_site_fract_y
_atom_site_fract_z
Ce1 Ce 0.4977 0.1468 0.6598
Te1 Te 0.9677 0.3818 0.3647
P1 P 0.3042 0.5501 0.8696
Th1 Th 0.1083 0.9521 0.0755
# energy relative to the elements, uncorrected = -1396 meV per atom
# space group = R3m, No. 160

=====

[9]
# PBE-GGA Nd2Ni3Sn4Pt, relaxed
data_Nd2Ni3Sn4Pt
_symmetry_space_group_name_H-M 'P 1'
_symmetry_Int_Tables_number 1
_cell_length_a 4.4965
_cell_length_b 4.4965
_cell_length_c 10.2873
_cell_angle_alpha 90.00
_cell_angle_beta 90.00
_cell_angle_gamma 90.00
loop_
_symmetry_equiv_pos_as_xyz
'x,y,z'
loop_
_atom_site_label
_atom_site_type_symbol
_atom_site_fract_x
_atom_site_fract_y
_atom_site_fract_z
Nd1 Nd 0.5000 0.0000 0.2574
Nd2 Nd 0.0000 0.5000 0.7426
Sn1 Sn 0.0000 0.5000 0.3644
Sn2 Sn 0.0000 0.0000 0.0000
Sn3 Sn 0.5000 0.5000 0.0000
Sn4 Sn 0.5000 0.0000 0.6356
Ni1 Ni 0.0000 0.5000 0.1224
Ni2 Ni 0.0000 0.0000 0.5000
Ni3 Ni 0.5000 0.0000 0.8776
Pt1 Pt 0.5000 0.5000 0.5000
# space group = P-4m2, No. 115

=====

[10]
# PBE-GGA LiNb2CdHg, relaxed
data_LiNb2CdHg
_symmetry_space_group_name_H-M 'P 1'
_symmetry_Int_Tables_number 1
_cell_length_a 4.5189
_cell_length_b 4.5795
_cell_length_c 4.5189
_cell_angle_alpha 90.00
_cell_angle_beta 90.00
_cell_angle_gamma 90.00
loop_
_symmetry_equiv_pos_as_xyz
'x,y,z'
loop_
_atom_site_label
_atom_site_type_symbol
_atom_site_fract_x
_atom_site_fract_y
_atom_site_fract_z
Li1 Li 0.0000 0.0000 0.0000
Hg1 Hg 0.0000 0.5000 0.0000
Nb1 Nb 0.0000 0.0000 0.5000
Nb2 Nb 0.5000 0.0000 0.0000
Cd1 Cd 0.5000 0.5000 0.5000
# space group = P4/mmm, No. 123

=====

[11]
# PBE-GGA K2PS, relaxed
data_K2PS
_symmetry_space_group_name_H-M 'P 1'
_symmetry_Int_Tables_number 1
_cell_length_a 5.5095
_cell_length_b 5.5095
_cell_length_c 5.5095
_cell_angle_alpha 60.00
_cell_angle_beta 60.00
_cell_angle_gamma 60.00
loop_
_symmetry_equiv_pos_as_xyz
'x,y,z'
loop_
_atom_site_label
_atom_site_type_symbol
_atom_site_fract_x
_atom_site_fract_y
_atom_site_fract_z
K1 K 0.2500 0.2500 0.2500
K2 K 0.7500 0.7500 0.7500
P1 P 0.0000 0.0000 0.0000
S1 S 0.5000 0.5000 0.5000
# energy relative to the elements, uncorrected = -41 meV per atom
# ΔE to the lowest computed polymorph = 233 meV per atom
# space group = Fm-3m, No. 225

=====

[12]
# PBE-GGA NbTc2AgAs, relaxed
data_NbTc2AgAs
_symmetry_space_group_name_H-M 'P 1'
_symmetry_Int_Tables_number 1
_cell_length_a 4.7848
_cell_length_b 4.9473
_cell_length_c 4.7848
_cell_angle_alpha 90.00
_cell_angle_beta 90.00
_cell_angle_gamma 90.00
loop_
_symmetry_equiv_pos_as_xyz
'x,y,z'
loop_
_atom_site_label
_atom_site_type_symbol
_atom_site_fract_x
_atom_site_fract_y
_atom_site_fract_z
Ag1 Ag 0.5000 0.5000 0.5000
As1 As 0.0000 0.5000 0.0000
Nb1 Nb 0.0000 0.0000 0.0000
Tc1 Tc 0.0000 0.0000 0.5000
Tc2 Tc 0.5000 0.0000 0.0000
# space group = P4/mmm, No. 123

=====

Which calculated total energy belongs to each record? In order, -1.2956; -6.6208; -4.5049; -3.5362; -1.1691; -8.2643; -3.9458; -6.8723; -5.5032; -3.7971; -2.9743; -6.2330 eV/atom.